{"formula": "Na3La2PrTe6", "functional": "PBE-GGA", "state": "optimized geometry", "lattice_angstrom": [[8.016, -0.001, 0.001], [-4.007, 6.942, 0.001], [-1.337, -2.315, 7.520]], "species": ["Te", "Te", "La", "La", "Na", "Na", "Te", "Te", "Te", "Na", "Te", "Pr"], "fractional_positions": [[0.412, 0.080, 0.241], [0.251, 0.251, 0.759], [0.333, 0.667, 0.000], [0.667, 0.333, 0.000], [0.167, 0.833, 0.500], [0.500, 0.500, 0.500], [0.749, 0.749, 0.241], [0.920, 0.588, 0.759], [0.080, 0.412, 0.241], [0.833, 0.167, 0.500], [0.588, 0.920, 0.759], [0.000, 0.000, 0.000]], "m_tot_mub_per_fu": 0.0, "e_tot_ev_per_atom": -4.5016}